No. 1
This record from Alexandria describes crystalline MnTe2P at its relaxed geometry. The functional is PBE-GGA.

```
4
Lattice="-1.414 2.640 1.040 -2.055 -1.754 1.659 6.022 0.203 7.675" Properties=species:S:1:pos:R:3 pbc="T T T"
Mn 3.991 0.135 5.086
Te 5.635 0.190 7.181
Te 0.157 0.507 3.759
P 1.804 0.562 5.859
```

- E_form (uncorrected): -25 meV per atom

***

No. 2
This record from Alexandria describes crystalline Mg2ZnTcBi at its relaxed geometry. The functional is PBE-GGA.

```
5
Lattice="5.141 0.000 0.000 0.000 5.148 0.000 0.000 0.000 5.141" Properties=species:S:1:pos:R:3 pbc="T T T"
Mg 0.000 0.000 2.570
Mg 2.570 0.000 0.000
Zn 2.570 2.574 2.570
Bi 0.000 2.574 0.000
Tc 0.000 0.000 0.000
```

- Formation energy: 0.505 eV per atom

***

No. 3
This record from Alexandria describes crystalline HfPN3 at its relaxed geometry. The functional is PBE-GGA.

```
5
Lattice="4.167 0.000 0.000 0.000 4.167 0.000 0.000 0.000 4.167" Properties=species:S:1:pos:R:3 pbc="T T T"
P 2.083 2.083 2.083
Hf 0.000 0.000 0.000
N 0.000 2.083 0.000
N 0.000 0.000 2.083
N 2.083 0.000 0.000
```

- E_form (uncorrected): 1153 meV per atom

***

No. 4
This record from Alexandria describes crystalline Sc2CO at its relaxed geometry. The functional is PBE-GGA.

```
8
Lattice="4.883 0.000 0.000 0.000 4.883 0.000 2.442 2.442 5.094" Properties=species:S:1:pos:R:3 pbc="T T T"
Sc 3.678 1.221 1.273
Sc 1.205 3.663 1.273
Sc 3.663 3.647 3.820
Sc 6.104 6.120 3.820
C 2.442 2.442 0.000
C 2.442 4.883 2.547
O 0.000 0.000 0.000
O 4.883 2.442 2.547
```

- E_form (uncorrected): -1614 meV per atom

***

No. 5
This record from Alexandria describes crystalline KCo2Ni at its relaxed geometry. The functional is PBE-GGA.

```
4
Lattice="-2.076 -0.774 3.870 -2.935 -1.415 -1.857 1.551 -3.411 0.149" Properties=species:S:1:pos:R:3 pbc="T T T"
Co 0.000 0.000 0.000
Co -0.692 -2.413 -0.854
K -2.505 -1.095 1.007
Ni -0.262 -2.093 2.010
```

- Formation energy: 1.275 eV per atom

***

No. 6
This record from Alexandria describes crystalline CeSm2Si3Pt4 at its relaxed geometry. The functional is PBE-GGA.

```
10
Lattice="-2.302 1.699 3.181 0.318 -3.664 2.186 9.142 3.596 4.696" Properties=species:S:1:pos:R:3 pbc="T T T"
Ce 3.579 0.815 5.032
Sm 0.893 1.653 2.641
Sm 7.257 0.960 4.739
Si 4.571 1.798 2.348
Si 6.923 4.025 5.738
Si 1.227 -1.412 1.642
Pt -0.992 -0.983 2.684
Pt 0.000 0.000 0.000
Pt 4.927 3.240 4.713
Pt 3.223 -0.627 2.667
```

- E_form (uncorrected): -1003 meV per atom

***

No. 7
This record from Alexandria describes crystalline ZrIrPt at its relaxed geometry. The functional is PBE-GGA.

```
3
Lattice="-1.790 5.739 1.334 -1.944 4.300 3.957 2.516 1.358 0.895" Properties=species:S:1:pos:R:3 pbc="T T T"
Ir 2.483 1.403 0.918
Pt 0.434 4.249 2.360
Zr -1.619 7.102 3.804
```

- Formation energy: -0.535 eV per atom

***

No. 8
This record from Alexandria describes crystalline Sc3SbC at its relaxed geometry. The functional is PBE-GGA.

```
10
Lattice="4.148 -2.395 0.000 0.000 4.789 0.000 0.000 0.000 9.238" Properties=species:S:1:pos:R:3 pbc="T T T"
Sc 0.000 0.000 2.309
Sc 0.000 0.000 6.928
Sc 1.383 2.395 0.643
Sc 1.383 2.395 3.976
Sc 2.765 0.000 5.262
Sc 2.765 0.000 8.595
Sb 1.383 2.395 6.928
Sb 2.765 0.000 2.309
C 0.000 0.000 0.000
C 0.000 0.000 4.619
```

- E_form (uncorrected): -170 meV per atom

***

no.,total magnetic moment (μB/f.u.),mass density (g/cm3)
1,3.1,5.8
2,0.0,5.1
3,2.0,5.8
4,0.0,3.2
5,3.8,5.7
6,0.0,10.9
7,0.0,15.3
8,1.8,4.9